DFT (GGA+U) results for ZrNiHO2 after structural relaxation.

For the total energy, the calculation gives -29.28 eV per cell.

a b c (Å): 4.1225 4.1225 3.8207
angles (deg): 90.00 90.00 90.00
Fractional coordinates of all 5 atoms:
Zr 0.0000 0.0000 0.0000
Ni 0.5000 0.5000 0.5000
H 0.0000 0.0000 0.5000
O 0.0000 0.5000 0.0000
O 0.5000 0.0000 0.0000